No. 1
{"formula": "ErAlPd5", "functional": "PBE", "state": "relaxed", "dos_at_fermi_per_ev_cell": 0.930, "formation_energy_ev_per_fu": -5.566, "cell": [[4.123, 0.000, 0.000], [0.000, 4.123, 0.000], [0.000, 0.000, 7.009]], "species": ["Er", "Al", "Pd", "Pd", "Pd", "Pd", "Pd"], "fractional_positions": [[0.000, 0.000, 0.000], [0.500, 0.500, 0.500], [0.000, 0.500, 0.292], [0.000, 0.500, 0.708], [0.500, 0.000, 0.292], [0.500, 0.000, 0.708], [0.500, 0.500, 0.000]]}

No. 2
{"formula": "Ho12Tm5Sc2", "functional": "PBE", "state": "relaxed", "dos_at_fermi_per_ev_cell": 30.927, "de_polymorph_ev_per_fu": 0.619, "formation_energy_ev_per_fu": 2.355, "cell": [[7.731, -4.505, 0.000], [7.731, 4.505, 0.000], [-0.182, 0.000, 8.379]], "species": ["Ho", "Ho", "Ho", "Ho", "Ho", "Ho", "Ho", "Ho", "Ho", "Ho", "Ho", "Ho", "Tm", "Tm", "Tm", "Tm", "Tm", "Sc", "Sc"], "fractional_positions": [[0.057, 0.057, 0.336], [0.069, 0.678, 0.328], [0.164, 0.532, 0.760], [0.322, 0.931, 0.672], [0.413, 0.413, 0.113], [0.468, 0.836, 0.240], [0.532, 0.164, 0.760], [0.587, 0.587, 0.887], [0.678, 0.069, 0.328], [0.836, 0.468, 0.240], [0.931, 0.322, 0.672], [0.943, 0.943, 0.664], [0.198, 0.198, 0.014], [0.267, 0.267, 0.428], [0.500, 0.500, 0.500], [0.733, 0.733, 0.572], [0.802, 0.802, 0.986], [0.171, 0.829, 0.000], [0.829, 0.171, 0.000]]}

No. 3
{"formula": "Ba4CdPd2", "functional": "PBE", "state": "relaxed", "dos_at_fermi_per_ev_cell": 8.204, "formation_energy_ev_per_fu": -2.773, "cell": [[6.640, -4.967, 0.000], [6.640, 4.967, 0.000], [-2.926, 0.000, 8.420]], "species": ["Ba", "Ba", "Ba", "Ba", "Ba", "Ba", "Ba", "Ba", "Cd", "Cd", "Pd", "Pd", "Pd", "Pd"], "fractional_positions": [[0.000, 0.000, 0.000], [0.002, 0.002, 0.519], [0.016, 0.553, 0.653], [0.511, 0.511, 0.005], [0.520, 0.520, 0.526], [0.540, 0.998, 0.143], [0.553, 0.016, 0.653], [0.998, 0.540, 0.143], [0.215, 0.215, 0.866], [0.222, 0.222, 0.370], [0.318, 0.833, 0.798], [0.717, 0.717, 0.867], [0.730, 0.730, 0.376], [0.833, 0.318, 0.798]]}

No. 4
{"formula": "NaGd2Hg", "functional": "PBE", "state": "relaxed", "dos_at_fermi_per_ev_cell": 5.000, "de_polymorph_ev_per_fu": 0.043, "formation_energy_ev_per_fu": -0.369, "cell": [[0.000, 3.808, 3.808], [3.808, 0.000, 3.808], [3.808, 3.808, 0.000]], "species": ["Na", "Gd", "Gd", "Hg"], "fractional_positions": [[0.000, 0.000, 0.000], [0.250, 0.250, 0.250], [0.750, 0.750, 0.750], [0.500, 0.500, 0.500]]}